# Be2Fe5B2

Be2Fe5B2 after structural relaxation (PBE, the Alexandria database).

Calculated values
Formation energy: -172 meV/atom
Total DFT energy (no corrections): -7.19 eV per atom
Space-group type: No. 64

abc: 6.1859 6.1859 5.3822
angles: 90.00 90.00 52.26
Fractional positions:
Be 0.2228 0.2228 0.0000
Be 0.2772 0.2772 0.5000
Be 0.7228 0.7228 0.5000
Be 0.7772 0.7772 0.0000
Fe 0.0000 0.0000 0.0000
Fe 0.0550 0.6972 0.6825
Fe 0.1972 0.5550 0.1825
Fe 0.3028 0.9450 0.6825
Fe 0.4450 0.8028 0.1825
Fe 0.5000 0.5000 0.5000
Fe 0.5550 0.1972 0.8175
Fe 0.6972 0.0550 0.3175
Fe 0.8028 0.4450 0.8175
Fe 0.9450 0.3028 0.3175
B 0.1150 0.8850 0.3852
B 0.3850 0.6150 0.8852
B 0.6150 0.3850 0.1148
B 0.8850 0.1150 0.6148

***

# Be2Fe2B

Be2Fe2B after structural relaxation (PBE, the Alexandria database).

Calculated values
Formation energy: -90 meV/atom
Total DFT energy (no corrections): -6.30 eV per atom
Space-group type: No. 127

abc: 5.1525 5.1525 3.4639
angles: 90.00 90.00 90.00
Fractional positions:
Be 0.1528 0.3472 0.0000
Be 0.3472 0.8472 0.0000
Be 0.6528 0.1528 0.0000
Be 0.8472 0.6528 0.0000
Fe 0.1546 0.6546 0.5000
Fe 0.3454 0.1546 0.5000
Fe 0.6546 0.8454 0.5000
Fe 0.8454 0.3454 0.5000
B 0.0000 0.0000 0.5000
B 0.5000 0.5000 0.5000

***

# BeFe4B2

BeFe4B2 after structural relaxation (PBE, the Alexandria database).

Calculated values
Formation energy: -37 meV/atom
Total DFT energy (no corrections): -7.31 eV per atom
Space-group type: No. 166

abc: 7.2849 7.2849 7.2849
angles: 26.28 26.28 26.28
Fractional positions:
Be 0.0000 0.0000 0.0000
Fe 0.2018 0.2018 0.2018
Fe 0.3853 0.3853 0.3853
Fe 0.6147 0.6147 0.6147
Fe 0.7982 0.7982 0.7982
B 0.0955 0.0955 0.0955
B 0.9045 0.9045 0.9045

***

# BeFe2B

BeFe2B after structural relaxation (PBE, the Alexandria database).

Calculated values
Formation energy: -149 meV/atom
Total DFT energy (no corrections): -6.98 eV per atom
ΔE to the lowest computed polymorph: 30 meV/atom
Space-group type: No. 225

abc: 3.6018 3.6018 3.6018
angles: 60.00 60.00 60.00
Fractional positions:
Be 0.0000 0.0000 0.0000
Fe 0.2500 0.2500 0.2500
Fe 0.7500 0.7500 0.7500
B 0.5000 0.5000 0.5000

***

# BeFe2B

BeFe2B after structural relaxation (PBE, the Alexandria database).

Calculated values
Formation energy: -179 meV/atom
Total DFT energy (no corrections): -7.01 eV per atom
ΔE to the lowest computed polymorph: 0 meV/atom
Space-group type: No. 123

abc: 2.5442 2.5442 5.2059
angles: 90.00 90.00 90.00
Fractional positions:
Be 0.0000 0.0000 0.0000
Fe 0.5000 0.5000 0.2732
Fe 0.5000 0.5000 0.7268
B 0.0000 0.0000 0.5000

***

# Be2FeB2

Be2FeB2 after structural relaxation (PBE, the Alexandria database).

Calculated values
Formation energy: -43 meV/atom
Total DFT energy (no corrections): -5.90 eV per atom
ΔE to the lowest computed polymorph: 0 meV/atom
Space-group type: No. 139

abc: 4.7595 4.7595 4.7595
angles: 143.86 143.86 52.04
Fractional positions:
Be 0.2500 0.7500 0.5000
Be 0.7500 0.2500 0.5000
Fe 0.0000 0.0000 0.0000
B 0.4033 0.4033 0.0000
B 0.5967 0.5967 0.0000

***

# Be3Fe2B

Be3Fe2B after structural relaxation (PBE, the Alexandria database).

Calculated values
Formation energy: -284 meV/atom
Total DFT energy (no corrections): -6.08 eV per atom
Space-group type: No. 166

abc: 4.0623 4.0623 4.0623
angles: 60.68 60.68 60.68
Fractional positions:
Be 0.0000 0.5000 0.5000
Be 0.5000 0.0000 0.5000
Be 0.5000 0.5000 0.0000
Fe 0.1266 0.1266 0.1266
Fe 0.8734 0.8734 0.8734
B 0.5000 0.5000 0.5000

***

# BeFeB2

BeFeB2 after structural relaxation (PBE, the Alexandria database).

Calculated values
Formation energy: 628 meV/atom
Total DFT energy (no corrections): -5.76 eV per atom
ΔE to the lowest computed polymorph: 643 meV/atom
Space-group type: No. 122

abc: 4.4274 4.4274 4.4274
angles: 103.01 103.01 123.35
Fractional positions:
Be 0.0000 0.0000 0.0000
Be 0.7500 0.2500 0.5000
Fe 0.2500 0.7500 0.5000
Fe 0.5000 0.5000 0.0000
B 0.1125 0.1250 0.4875
B 0.3750 0.8875 0.0125
B 0.6375 0.6250 0.5125
B 0.8750 0.3625 0.9875